An optimized crystal structure of Ce6PuCo, computed with GGA-PBE.

Computed properties:
* V: 25.38 A^3/atom
* E_form: -0.01 eV/atom

a = 6.173 Å, b = 6.173 Å, c = 11.072 Å
α = 83.32°, β = 83.32°, γ = 76.70°
Positions (direct):
Ce: 0.389 0.658 0.099
Ce: 0.441 0.913 0.794
Ce: 0.202 0.105 0.531
Ce: 0.611 0.342 0.901
Ce: 0.087 0.559 0.706
Ce: 0.798 0.895 0.469
Ce: 0.559 0.087 0.206
Ce: 0.342 0.611 0.401
Ce: 0.105 0.202 0.031
Ce: 0.913 0.441 0.294
Ce: 0.658 0.389 0.599
Ce: 0.895 0.798 0.969
Pu: 0.000 0.500 0.500
Pu: 0.500 0.000 0.000
Co: 0.040 0.960 0.250
Co: 0.960 0.040 0.750